# 1
# Li2SiNiS

An optimized crystal structure of Li2SiNiS (PBE-GGA, Alexandria).

Cell and atoms, written as POSCAR:
```
Li2SiNiS
1.0
-0.388 4.139 -2.233
-3.978 0.318 1.280
1.434 2.238 3.899
Ni S Si Li
1 1 1 2
Direct
0.000 0.500 0.000 Ni
0.500 0.500 0.500 S
0.000 0.000 0.000 Si
0.000 0.000 0.500 Li
0.500 0.000 0.000 Li
```

Properties
Final energy ... -17.84 eV per cell
Formation energy (no corrections) ... 0.26 eV/atom

# 2
# Hf3NbSn4

An optimized crystal structure of Hf3NbSn4 (PBE-GGA, Alexandria).

Cell and atoms, written as POSCAR:
```
Hf3NbSn4
1.0
5.653 0.000 0.000
0.000 8.676 0.000
0.000 0.000 9.687
Hf Nb Sn
6 2 8
Direct
0.564 0.831 0.000 Hf
0.064 0.665 0.252 Hf
0.564 0.335 0.248 Hf
0.064 0.169 0.500 Hf
0.564 0.335 0.752 Hf
0.064 0.665 0.748 Hf
0.064 0.162 0.000 Nb
0.564 0.838 0.500 Nb
0.064 0.839 0.000 Sn
0.564 0.158 0.000 Sn
0.064 0.335 0.242 Sn
0.564 0.665 0.258 Sn
0.064 0.842 0.500 Sn
0.564 0.161 0.500 Sn
0.564 0.665 0.742 Sn
0.064 0.335 0.758 Sn
```

Properties
Final energy ... -106.40 eV per cell
E_form ... 342 meV/atom

> Among the records above, which one has the highest final energy?

Li2SiNiS

> Look up the final energy of the second one.

-106.40 eV per cell

> What is the final energy in the first record?

-17.84 eV per cell